(1)
Compound: LaNb2ZnNi
Source: Alexandria via LeMat-Bulk
Functional: PBE
Structure: optimized geometry

The structure in CIF format:
```
data_LaNb2ZnNi
_chemical_formula_sum 'La1 Nb2 Zn1 Ni1'
_cell_length_a 4.756
_cell_length_b 4.756
_cell_length_c 5.522
_cell_angle_alpha 90.00
_cell_angle_beta 90.00
_cell_angle_gamma 90.00
_symmetry_space_group_name_H-M 'P 4/m m m'
_symmetry_Int_Tables_number 123
_symmetry_space_group_name_Hall '-P 4 2'
loop_
_atom_site_label
_atom_site_type_symbol
_atom_site_fract_x
_atom_site_fract_y
_atom_site_fract_z
_atom_site_occupancy
La1 La 0.000 0.000 0.000 1
Nb1 Nb 0.000 0.500 0.500 1
Zn1 Zn 0.000 0.000 0.500 1
Ni1 Ni 0.500 0.500 0.000 1
```

## Properties
energy relative to the elements: 6.31 eV/f.u.
total moment: 2.066 μB/f.u.

---

(2)
Compound: VAu2Cl
Source: Alexandria via LeMat-Bulk
Functional: PBE
Structure: optimized geometry

The structure in CIF format:
```
data_VAu2Cl
_chemical_formula_sum 'V4 Au8 Cl4'
_cell_length_a 8.671
_cell_length_b 8.671
_cell_length_c 4.688
_cell_angle_alpha 90.00
_cell_angle_beta 90.00
_cell_angle_gamma 90.00
_symmetry_space_group_name_H-M 'I -4 2 d'
_symmetry_Int_Tables_number 122
_symmetry_space_group_name_Hall 'I -4 2bw'
loop_
_atom_site_label
_atom_site_type_symbol
_atom_site_fract_x
_atom_site_fract_y
_atom_site_fract_z
_atom_site_occupancy
V1 V 0.000 0.000 0.000 1
Au1 Au 0.170 0.250 0.125 1
Cl1 Cl 0.000 0.000 0.500 1
```

## Properties
E above lowest polymorph: 0.000 eV/atom
raw formation energy: 3.81 kcal/mol of atoms
total moment: 2.229 μB/f.u.

---

(3)
Compound: RbAlSn2
Source: Alexandria via LeMat-Bulk
Functional: PBE
Structure: optimized geometry

The structure in CIF format:
```
data_RbAlSn2
_chemical_formula_sum 'Rb3 Al3 Sn6'
_cell_length_a 4.6153
_cell_length_b 4.6153
_cell_length_c 22.2765
_cell_angle_alpha 90.00
_cell_angle_beta 90.00
_cell_angle_gamma 120.00
_symmetry_space_group_name_H-M 'R -3 m'
_symmetry_Int_Tables_number 166
_symmetry_space_group_name_Hall '-R 3 2"'
loop_
_atom_site_label
_atom_site_type_symbol
_atom_site_fract_x
_atom_site_fract_y
_atom_site_fract_z
_atom_site_occupancy
Rb1 Rb 0.0000 0.0000 0.0000 1
Al1 Al 0.0000 0.0000 0.5000 1
Sn1 Sn 0.0000 0.0000 0.2142 1
```

## Properties
energy relative to the elements: -0.09 eV/f.u.
total moment: 0.000 μB/f.u.

---

| no. | final energy (eV per atom) |
| --- | --- |
| 1 | -5.162 |
| 2 | -4.215 |
| 3 | -3.202 |